Entry 1:
{"formula": "Sr3CrTe", "functional": "GGA-PBE", "state": "relaxed", "lattice_angstrom": [[6.257, 0.000, 0.000], [0.000, 6.257, 0.000], [0.000, 0.000, 6.257]], "species": ["Sr", "Sr", "Te", "Sr", "Cr"], "fractional_positions": [[0.000, 0.000, 0.500], [0.500, 0.000, 0.000], [0.000, 0.000, 0.000], [0.000, 0.500, 0.000], [0.500, 0.500, 0.500]], "volume_a3_per_cell": 244.95, "raw_formation_energy_ev_per_atom": 0.038, "relative_energy_ev_per_fu": 0.000, "e_tot_ev_per_atom": -3.5239}


Entry 2:
{"formula": "LaNd2TmHg4", "functional": "GGA-PBE", "state": "relaxed", "lattice_angstrom": [[-5.302, 0.221, -0.869], [-2.017, -1.575, -4.729], [-3.297, -8.739, 1.260]], "species": ["Nd", "Hg", "Nd", "La", "Hg", "Hg", "Hg", "Tm"], "fractional_positions": [[0.751, 0.751, 0.747], [0.620, 0.620, 0.139], [0.249, 0.249, 0.253], [0.000, 0.000, 0.000], [0.380, 0.380, 0.861], [0.872, 0.872, 0.384], [0.128, 0.128, 0.616], [0.500, 0.500, 0.500]], "volume_a3_per_cell": 222.83, "formation_energy_ev_per_atom": -0.4654, "e_tot_ev_per_atom": -2.9831}


Entry 3:
{"formula": "TiBeSb2N", "functional": "GGA-PBE", "state": "relaxed", "lattice_angstrom": [[5.381, 0.000, 0.000], [0.000, 3.015, 0.000], [0.000, 0.000, 5.381]], "species": ["Sb", "Sb", "N", "Be", "Ti"], "fractional_positions": [[0.000, 0.000, 0.500], [0.500, 0.000, 0.000], [0.000, 0.500, 0.000], [0.000, 0.000, 0.000], [0.500, 0.500, 0.500]], "volume_a3_per_cell": 87.31, "raw_formation_energy_ev_per_atom": 0.212, "e_tot_ev_per_atom": -5.4262}


Entry 4:
{"formula": "Tm4InRe", "functional": "GGA-PBE", "state": "relaxed", "lattice_angstrom": [[0.161, -2.086, -5.694], [5.547, -4.450, 3.195], [-7.182, -2.252, 2.030]], "species": ["Tm", "In", "Tm", "Tm", "Re", "Tm", "Tm", "Tm", "In", "Re", "Tm", "Tm"], "fractional_positions": [[0.951, 0.062, 0.722], [0.750, 0.626, 0.374], [0.384, 0.800, 0.646], [0.884, 0.646, 0.800], [0.750, 0.000, 0.000], [0.116, 0.354, 0.200], [0.451, 0.722, 0.062], [0.049, 0.938, 0.278], [0.250, 0.374, 0.626], [0.250, 0.000, 0.000], [0.616, 0.200, 0.354], [0.549, 0.278, 0.938]], "volume_a3_per_cell": 324.18, "formation_energy_ev_per_atom": -0.2143, "e_tot_ev_per_atom": -5.7264}


Entry 5:
{"formula": "GaAuBrN2", "functional": "GGA-PBE", "state": "relaxed", "lattice_angstrom": [[-3.745, -0.546, 0.786], [-0.626, -3.274, -5.257], [0.875, -3.242, 1.915]], "species": ["Ga", "Br", "N", "Au", "N"], "fractional_positions": [[0.000, 0.500, 0.000], [0.000, 0.000, 0.000], [0.000, 0.000, 0.500], [0.500, 0.500, 0.500], [0.500, 0.000, 0.000]], "volume_a3_per_cell": 93.01, "raw_formation_energy_ev_per_atom": 1.958, "e_tot_ev_per_atom": -2.9678}


Entry 6:
{"formula": "AcDyHo6", "functional": "GGA-PBE", "state": "relaxed", "lattice_angstrom": [[6.339, 0.185, 2.425], [0.644, 6.678, 0.030], [1.126, -0.083, 6.739]], "species": ["Ho", "Ho", "Dy", "Ac", "Ho", "Ho", "Ho", "Ho"], "fractional_positions": [[0.434, 0.261, 0.522], [0.907, 0.279, 0.548], [0.000, 0.500, 0.000], [0.000, 0.000, 0.000], [0.431, 0.261, 0.048], [0.093, 0.721, 0.452], [0.566, 0.739, 0.478], [0.569, 0.739, 0.952]], "volume_a3_per_cell": 266.09, "formation_energy_ev_per_atom": 0.2251, "relative_energy_ev_per_fu": 1.431, "e_tot_ev_per_atom": -4.2971}